[1]
Below is crystalline SmHoGe2 at its relaxed geometry, with properties calculated at the PBE level.

Values from the calculation:
Total DFT energy (no corrections) ... -41.78 eV/cell
Space-group type ... Cmcm (63)

abc: 9.563 9.563 5.452
angles: 90.00 90.00 154.91
Fractional coordinates of all 8 atoms:
Ge 0.810 0.190 0.250
Ge 0.043 0.957 0.250
Ge 0.957 0.043 0.750
Ge 0.190 0.810 0.750
Ho 0.202 0.798 0.250
Ho 0.798 0.202 0.750
Sm 0.420 0.580 0.250
Sm 0.580 0.420 0.750

[2]
Below is crystalline CsTbPbS3 at its relaxed geometry, with properties calculated at the PBE level.

Values from the calculation:
Total DFT energy (no corrections) ... -58.55 eV/cell
Space-group type ... Cmcm (63)

abc: 9.123 9.123 11.702
angles: 90.00 90.00 154.26
Fractional coordinates of all 12 atoms:
Cs 0.677 0.323 0.250
Cs 0.323 0.677 0.750
Pb 0.396 0.604 0.250
Pb 0.604 0.396 0.750
S 0.397 0.603 0.006
S 0.000 0.000 0.250
S 0.397 0.603 0.494
S 0.603 0.397 0.506
S 0.000 0.000 0.750
S 0.603 0.397 0.994
Tb 0.000 0.000 0.000
Tb 0.000 0.000 0.500

[3]
Below is crystalline NaCd at its relaxed geometry, with properties calculated at the PBE level.

Values from the calculation:
Total DFT energy (no corrections) ... -9.52 eV/cell
Space-group type ... P-1 (2)

abc: 5.879 6.179 6.344
angles: 105.09 98.09 94.60
Fractional coordinates of all 8 atoms:
Cd 0.875 0.310 0.057
Cd 0.202 0.101 0.326
Cd 0.798 0.899 0.674
Cd 0.125 0.690 0.943
Na 0.659 0.804 0.144
Na 0.256 0.647 0.464
Na 0.744 0.353 0.536
Na 0.341 0.196 0.856

[4]
Below is crystalline BaCuReOs at its relaxed geometry, with properties calculated at the PBE level.

Values from the calculation:
Total DFT energy (no corrections) ... -24.19 eV/cell
Relative energy among the computed polymorphs ... 0.000 eV per atom
Space-group type ... F-43m (216)

abc: 4.711 4.711 4.711
angles: 60.00 60.00 60.00
Fractional coordinates of all 4 atoms:
Ba 0.500 0.500 0.500
Cu 0.750 0.750 0.750
Os 0.000 0.000 0.000
Re 0.250 0.250 0.250

[5]
Below is crystalline ErFeB at its relaxed geometry, with properties calculated at the PBE level.

Values from the calculation:
Total DFT energy (no corrections) ... -18.86 eV/cell
Relative energy among the computed polymorphs ... 0.504 eV per atom
Space-group type ... F-43m (216)

abc: 3.999 3.999 3.999
angles: 60.00 60.00 60.00
Each line ends with the local moment (μB).
Fractional coordinates of all 3 atoms:
B 0.000 0.000 0.000  -0.16
Er 0.250 0.250 0.250  -0.27
Fe 0.750 0.750 0.750  1.71

[6]
Below is crystalline Li4FeGe2 at its relaxed geometry, with properties calculated at the PBE level.

Values from the calculation:
Total DFT energy (no corrections) ... -22.93 eV/cell
Space-group type ... Cmmm (65)

abc: 5.681 5.681 4.583
angles: 90.00 90.00 130.55
Each line ends with the local moment (μB).
Fractional coordinates of all 7 atoms:
Fe 0.000 0.000 0.500  2.70
Ge 0.635 0.365 0.000  -0.01
Ge 0.365 0.635 0.000  -0.01
Li 0.000 0.000 0.000  -0.02
Li 0.762 0.238 0.500  -0.01
Li 0.500 0.500 0.500  -0.01
Li 0.238 0.762 0.500  -0.01

[7]
Below is crystalline Rb2NaZnBr6 at its relaxed geometry, with properties calculated at the PBE level.

Values from the calculation:
Total DFT energy (no corrections) ... -26.27 eV/cell
Space-group type ... Fm-3m (225)

abc: 7.763 7.763 7.763
angles: 60.00 60.00 60.00
Fractional coordinates of all 10 atoms:
Br 0.738 0.262 0.262
Br 0.262 0.738 0.262
Br 0.738 0.738 0.262
Br 0.262 0.262 0.738
Br 0.738 0.262 0.738
Br 0.262 0.738 0.738
Na 0.000 0.000 0.000
Rb 0.250 0.250 0.250
Rb 0.750 0.750 0.750
Zn 0.500 0.500 0.500

[8]
Below is crystalline CsOsSO at its relaxed geometry, with properties calculated at the PBE level.

Values from the calculation:
Total DFT energy (no corrections) ... -95.69 eV/cell
Relative energy among the computed polymorphs ... 0.000 eV per atom
Space-group type ... Pca2_1 (29)

abc: 6.691 9.141 5.875
angles: 90.00 90.00 90.00
Fractional coordinates of all 16 atoms:
Cs 0.432 0.158 0.022
Cs 0.932 0.842 0.022
Cs 0.068 0.158 0.522
Cs 0.568 0.842 0.522
O 0.926 0.175 0.016
O 0.426 0.825 0.016
O 0.574 0.175 0.516
O 0.074 0.825 0.516
Os 0.882 0.374 0.020
Os 0.382 0.626 0.020
Os 0.618 0.374 0.520
Os 0.118 0.626 0.520
S 0.130 0.497 0.191
S 0.630 0.503 0.191
S 0.370 0.497 0.691
S 0.870 0.503 0.691

[9]
Below is crystalline Y2Er3Tm2Ni2Te2 at its relaxed geometry, with properties calculated at the PBE level.

Values from the calculation:
Total DFT energy (no corrections) ... -60.37 eV/cell
Relative energy among the computed polymorphs ... 0.011 eV per atom
Space-group type ... Imm2 (44)

abc: 9.295 9.295 9.295
angles: 156.24 67.07 118.32
Fractional coordinates of all 11 atoms:
Er 0.476 0.476 0.000
Er 0.100 0.747 0.353
Er 0.394 0.747 0.647
Ni 0.642 0.403 0.239
Ni 0.163 0.403 0.761
Te 0.140 0.140 0.000
Te 0.743 0.243 0.500
Tm 0.028 0.895 0.133
Tm 0.762 0.895 0.867
Y 0.414 0.099 0.315
Y 0.783 0.099 0.685

[10]
Below is crystalline TaCoBOs at its relaxed geometry, with properties calculated at the PBE level.

Values from the calculation:
Total DFT energy (no corrections) ... -34.62 eV/cell
Relative energy among the computed polymorphs ... 0.306 eV per atom
Space-group type ... F-43m (216)

abc: 4.203 4.203 4.203
angles: 60.00 60.00 60.00
Each line ends with the local moment (μB).
Fractional coordinates of all 4 atoms:
B 0.000 0.000 0.000  0.02
Co 0.750 0.750 0.750  1.66
Os 0.500 0.500 0.500  0.62
Ta 0.250 0.250 0.250  0.01

[11]
Below is crystalline TaBNO at its relaxed geometry, with properties calculated at the PBE level.

Values from the calculation:
Total DFT energy (no corrections) ... -146.82 eV/cell
Relative energy among the computed polymorphs ... 0.000 eV per atom
Space-group type ... Pca2_1 (29)

abc: 4.485 7.823 4.131
angles: 90.00 90.00 90.00
Fractional coordinates of all 16 atoms:
B 0.408 0.432 0.473
B 0.908 0.568 0.473
B 0.092 0.432 0.973
B 0.592 0.568 0.973
N 0.403 0.426 0.109
N 0.903 0.574 0.109
N 0.097 0.426 0.609
N 0.597 0.574 0.609
O 0.957 0.253 0.063
O 0.457 0.747 0.063
O 0.543 0.253 0.563
O 0.043 0.747 0.563
Ta 0.509 0.150 0.057
Ta 0.009 0.850 0.057
Ta 0.991 0.150 0.557
Ta 0.491 0.850 0.557

[12]
Below is crystalline SrCuPb2 at its relaxed geometry, with properties calculated at the PBE level.

Values from the calculation:
Total DFT energy (no corrections) ... -12.94 eV/cell
Space-group type ... F-43m (216)

abc: 5.453 5.453 5.453
angles: 60.00 60.00 60.00
Fractional coordinates of all 4 atoms:
Cu 0.250 0.250 0.250
Pb 0.000 0.000 0.000
Pb 0.750 0.750 0.750
Sr 0.500 0.500 0.500

[13]
Below is crystalline SrAsAuO at its relaxed geometry, with properties calculated at the PBE level.

Values from the calculation:
Total DFT energy (no corrections) ... -36.66 eV/cell
Relative energy among the computed polymorphs ... 0.178 eV per atom
Space-group type ... Pmc2_1 (26)

abc: 4.611 7.607 4.765
angles: 90.00 90.00 90.00
Fractional coordinates of all 8 atoms:
As 0.000 0.957 0.087
As 0.000 0.043 0.587
Au 0.000 0.615 0.057
Au 0.000 0.385 0.557
O 0.500 0.620 0.055
O 0.500 0.380 0.555
Sr 0.500 0.295 0.056
Sr 0.500 0.705 0.556

[14]
Below is crystalline ZrPb at its relaxed geometry, with properties calculated at the PBE level.

Values from the calculation:
Total DFT energy (no corrections) ... -73.72 eV/cell
Space-group type ... Pmc2_1 (26)

abc: 5.712 9.996 5.229
angles: 90.00 90.00 90.01
Fractional coordinates of all 12 atoms:
Pb 0.458 0.205 0.000
Pb 0.958 0.962 0.000
Pb 0.404 0.011 0.500
Pb 0.904 0.156 0.500
Pb 0.826 0.493 0.500
Pb 0.326 0.674 0.500
Zr 0.965 0.335 0.000
Zr 0.525 0.527 0.000
Zr 0.025 0.640 0.000
Zr 0.465 0.832 0.000
Zr 0.323 0.354 0.500
Zr 0.823 0.813 0.500

[15]
Below is crystalline Na3Tl2Ag3F12 at its relaxed geometry, with properties calculated at the PBE level.

Values from the calculation:
Total DFT energy (no corrections) ... -297.62 eV/cell
Space-group type ... Ia-3d (230)

abc: 11.332 11.332 11.332
angles: 109.47 109.47 109.47
Fractional coordinates of all 80 atoms:
Ag 0.875 0.250 0.125
Ag 0.750 0.875 0.125
Ag 0.625 0.375 0.250
Ag 0.125 0.875 0.250
Ag 0.250 0.625 0.375
Ag 0.625 0.750 0.375
Ag 0.375 0.250 0.625
Ag 0.750 0.375 0.625
Ag 0.875 0.125 0.750
Ag 0.375 0.625 0.750
Ag 0.250 0.125 0.875
Ag 0.125 0.750 0.875
F 0.334 0.938 0.058
F 0.224 0.120 0.058
F 0.620 0.396 0.062
F 0.942 0.666 0.062
F 0.880 0.438 0.104
F 0.724 0.666 0.104
F 0.562 0.896 0.120
F 0.058 0.224 0.120
F 0.442 0.562 0.166
F 0.224 0.604 0.166
F 0.120 0.058 0.224
F 0.604 0.166 0.224
F 0.442 0.380 0.276
F 0.334 0.896 0.276
F 0.938 0.058 0.334
F 0.896 0.276 0.334
F 0.276 0.442 0.380
F 0.604 0.938 0.380
F 0.062 0.620 0.396
F 0.834 0.776 0.396
F 0.834 0.558 0.438
F 0.104 0.880 0.438
F 0.562 0.166 0.442
F 0.380 0.276 0.442
F 0.620 0.724 0.558
F 0.438 0.834 0.558
F 0.896 0.120 0.562
F 0.166 0.442 0.562
F 0.166 0.224 0.604
F 0.938 0.380 0.604
F 0.396 0.062 0.620
F 0.724 0.558 0.620
F 0.104 0.724 0.666
F 0.062 0.942 0.666
F 0.666 0.104 0.724
F 0.558 0.620 0.724
F 0.396 0.834 0.776
F 0.880 0.942 0.776
F 0.776 0.396 0.834
F 0.558 0.438 0.834
F 0.438 0.104 0.880
F 0.942 0.776 0.880
F 0.276 0.334 0.896
F 0.120 0.562 0.896
F 0.058 0.334 0.938
F 0.380 0.604 0.938
F 0.666 0.062 0.942
F 0.776 0.880 0.942
Na 0.250 0.375 0.125
Na 0.375 0.750 0.125
Na 0.375 0.125 0.250
Na 0.875 0.625 0.250
Na 0.750 0.125 0.375
Na 0.125 0.250 0.375
Na 0.875 0.750 0.625
Na 0.250 0.875 0.625
Na 0.125 0.375 0.750
Na 0.625 0.875 0.750
Na 0.625 0.250 0.875
Na 0.750 0.625 0.875
Tl 0.000 0.000 0.000
Tl 0.500 0.000 0.000
Tl 0.000 0.500 0.000
Tl 0.500 0.500 0.000
Tl 0.000 0.000 0.500
Tl 0.500 0.000 0.500
Tl 0.000 0.500 0.500
Tl 0.500 0.500 0.500

[16]
Below is crystalline RbSmDyS3 at its relaxed geometry, with properties calculated at the PBE level.

Values from the calculation:
Total DFT energy (no corrections) ... -65.10 eV/cell
Space-group type ... Cmcm (63)

abc: 7.996 7.996 11.013
angles: 90.00 90.00 147.70
Fractional coordinates of all 12 atoms:
Dy 0.469 0.531 0.250
Dy 0.531 0.469 0.750
Rb 0.736 0.264 0.250
Rb 0.264 0.736 0.750
S 0.383 0.617 0.050
S 0.058 0.942 0.250
S 0.383 0.617 0.450
S 0.617 0.383 0.550
S 0.942 0.058 0.750
S 0.617 0.383 0.950
Sm 0.000 0.000 0.000
Sm 0.000 0.000 0.500

[17]
Below is crystalline ScSiPd at its relaxed geometry, with properties calculated at the PBE level.

Values from the calculation:
Total DFT energy (no corrections) ... -79.49 eV/cell
Space-group type ... Pnma (62)

abc: 6.572 4.088 7.426
angles: 90.00 90.00 90.00
Fractional coordinates of all 12 atoms:
Pd 0.172 0.750 0.072
Pd 0.672 0.750 0.428
Pd 0.328 0.250 0.572
Pd 0.828 0.250 0.928
Sc 0.491 0.250 0.194
Sc 0.991 0.250 0.306
Sc 0.009 0.750 0.694
Sc 0.509 0.750 0.806
Si 0.782 0.750 0.107
Si 0.282 0.750 0.393
Si 0.718 0.250 0.607
Si 0.218 0.250 0.893

[18]
Below is crystalline Cu7Ag at its relaxed geometry, with properties calculated at the PBE level.

Values from the calculation:
Total DFT energy (no corrections) ... -28.45 eV/cell
Relative energy among the computed polymorphs ... 0.007 eV per atom
Energy of formation ... 0.40 eV per formula unit
Space-group type ... Cmmm (65)

abc: 7.592 7.592 2.659
angles: 90.00 90.00 139.02
Fractional coordinates of all 8 atoms:
Ag 0.500 0.500 0.500
Cu 0.367 0.105 0.000
Cu 0.105 0.367 0.000
Cu 0.895 0.633 0.000
Cu 0.633 0.895 0.000
Cu 0.000 0.000 0.500
Cu 0.746 0.254 0.500
Cu 0.254 0.746 0.500

[19]
Below is crystalline MgZnCuW at its relaxed geometry, with properties calculated at the PBE level.

Values from the calculation:
Total DFT energy (no corrections) ... -17.01 eV/cell
Relative energy among the computed polymorphs ... 0.000 eV per atom
Space-group type ... F-43m (216)

abc: 4.423 4.423 4.423
angles: 60.00 60.00 60.00
Fractional coordinates of all 4 atoms:
Cu 0.750 0.750 0.750
Mg 0.500 0.500 0.500
W 0.250 0.250 0.250
Zn 0.000 0.000 0.000

[20]
Below is crystalline Be2HIr2 at its relaxed geometry, with properties calculated at the PBE level.

Values from the calculation:
Total DFT energy (no corrections) ... -59.56 eV/cell
Space-group type ... P4/mbm (127)

abc: 5.314 5.314 3.647
angles: 90.00 90.00 90.00
Fractional coordinates of all 10 atoms:
Be 0.359 0.141 0.500
Be 0.859 0.359 0.500
Be 0.141 0.641 0.500
Be 0.641 0.859 0.500
H 0.000 0.000 0.000
H 0.500 0.500 0.000
Ir 0.676 0.176 0.000
Ir 0.176 0.324 0.000
Ir 0.824 0.676 0.000
Ir 0.324 0.824 0.000